# ReW, optimized geometry, DFT GGA-PBEsol
# ΔE to the lowest computed polymorph   0 meV per atom
# Total magnetization   0.00 μB per formula unit
# DOS(E_F)   0.828 states/eV/atom
# Energy of formation   0.125 eV per atom
data_ReW
_symmetry_space_group_name_H-M 'P 1 21/m 1'
_symmetry_Int_Tables_number 11
_symmetry_space_group_name_Hall '-P 2yb'
_cell_length_a 2.7123
_cell_length_b 4.4033
_cell_length_c 5.1662
_cell_angle_alpha 90.00
_cell_angle_beta 100.62
_cell_angle_gamma 90.00
loop_
_atom_site_label
_atom_site_fract_x
_atom_site_fract_y
_atom_site_fract_z
Re1 0.1471 0.2500 0.3710
W1 0.3846 0.7500 0.1289

# AlInRe2, optimized geometry, DFT GGA-PBEsol
# ΔE to the lowest computed polymorph   60 meV per atom
# Total magnetization   0.00 μB per formula unit
# DOS(E_F)   0.724 states/eV/atom
# Energy of formation   0.407 eV per atom
data_AlInRe2
_symmetry_space_group_name_H-M 'P 1 2/m 1'
_symmetry_Int_Tables_number 10
_symmetry_space_group_name_Hall '-P 2y'
_cell_length_a 2.7915
_cell_length_b 4.3280
_cell_length_c 5.3693
_cell_angle_alpha 90.00
_cell_angle_beta 97.87
_cell_angle_gamma 90.00
loop_
_atom_site_label
_atom_site_fract_x
_atom_site_fract_y
_atom_site_fract_z
Al1 0.0000 0.0000 0.0000
In1 0.5000 0.0000 0.5000
Re1 0.2817 0.5000 0.7787

# ScAlNi2, optimized geometry, DFT GGA-PBEsol
# Total magnetization   0.00 μB per formula unit
# DOS(E_F)   0.547 states/eV/atom
# Energy of formation   -0.546 eV per atom
data_ScAlNi2
_symmetry_space_group_name_H-M 'P 4/m m m'
_symmetry_Int_Tables_number 123
_symmetry_space_group_name_Hall '-P 4 2'
_cell_length_a 4.2126
_cell_length_b 4.2126
_cell_length_c 3.0223
_cell_angle_alpha 90.00
_cell_angle_beta 90.00
_cell_angle_gamma 90.00
loop_
_atom_site_label
_atom_site_fract_x
_atom_site_fract_y
_atom_site_fract_z
Sc1 0.0000 0.0000 0.0000
Al1 0.5000 0.5000 0.0000
Ni1 0.0000 0.5000 0.5000

# BP2CS, optimized geometry, DFT GGA-PBEsol
# Total magnetization   0.00 μB per formula unit
# DOS(E_F)   0.506 states/eV/atom
# Energy relative to the elements, uncorrected   1.819 eV per atom
data_BP2CS
_symmetry_space_group_name_H-M 'P 4/m m m'
_symmetry_Int_Tables_number 123
_symmetry_space_group_name_Hall '-P 4 2'
_cell_length_a 3.9475
_cell_length_b 3.9475
_cell_length_c 4.0473
_cell_angle_alpha 90.00
_cell_angle_beta 90.00
_cell_angle_gamma 90.00
loop_
_atom_site_label
_atom_site_fract_x
_atom_site_fract_y
_atom_site_fract_z
B1 0.0000 0.0000 0.0000
P1 0.0000 0.5000 0.0000
C1 0.5000 0.5000 0.5000
S1 0.0000 0.0000 0.5000

# TcTePt, optimized geometry, DFT GGA-PBEsol
# ΔE to the lowest computed polymorph   20 meV per atom
# Total magnetization   0.00 μB per formula unit
# DOS(E_F)   0.892 states/eV/atom
# Energy relative to the elements, uncorrected   0.341 eV per atom
data_TcTePt
_symmetry_space_group_name_H-M 'P 3 m 1'
_symmetry_Int_Tables_number 156
_symmetry_space_group_name_Hall 'P 3 -2"'
_cell_length_a 4.2878
_cell_length_b 4.2878
_cell_length_c 3.2789
_cell_angle_alpha 90.00
_cell_angle_beta 90.00
_cell_angle_gamma 120.00
loop_
_atom_site_label
_atom_site_fract_x
_atom_site_fract_y
_atom_site_fract_z
Tc1 0.0000 0.0000 0.0000
Te1 0.3333 0.6667 0.1686
Pt1 0.6667 0.3333 0.5286

# OsS2IN, optimized geometry, DFT GGA-PBEsol
# Total magnetization   3.66 μB per formula unit
# DOS(E_F)   1.170 states/eV/atom
# Energy relative to the elements, uncorrected   2.280 eV per atom
data_OsS2IN
_symmetry_space_group_name_H-M 'P 4/m m m'
_symmetry_Int_Tables_number 123
_symmetry_space_group_name_Hall '-P 4 2'
_cell_length_a 5.0445
_cell_length_b 5.0445
_cell_length_c 3.8057
_cell_angle_alpha 90.00
_cell_angle_beta 90.00
_cell_angle_gamma 90.00
loop_
_atom_site_label
_atom_site_fract_x
_atom_site_fract_y
_atom_site_fract_z
Os1 0.0000 0.0000 0.0000
S1 0.0000 0.5000 0.5000
I1 0.5000 0.5000 0.5000
N1 0.5000 0.5000 0.0000

# RbCaPb2Cl, optimized geometry, DFT GGA-PBEsol
# Total magnetization   1.00 μB per formula unit
# DOS(E_F)   1.344 states/eV/atom
# Energy relative to the elements, uncorrected   0.180 eV per atom
data_RbCaPb2Cl
_symmetry_space_group_name_H-M 'P 4/m m m'
_symmetry_Int_Tables_number 123
_symmetry_space_group_name_Hall '-P 4 2'
_cell_length_a 5.7459
_cell_length_b 5.7459
_cell_length_c 8.5325
_cell_angle_alpha 90.00
_cell_angle_beta 90.00
_cell_angle_gamma 90.00
loop_
_atom_site_label
_atom_site_fract_x
_atom_site_fract_y
_atom_site_fract_z
Rb1 0.0000 0.0000 0.0000
Ca1 0.0000 0.0000 0.5000
Pb1 0.0000 0.5000 0.5000
Cl1 0.5000 0.5000 0.0000

# LaAl2Cl, optimized geometry, DFT GGA-PBEsol
# ΔE to the lowest computed polymorph   0 meV per atom
# Total magnetization   0.00 μB per formula unit
# DOS(E_F)   0.615 states/eV/atom
# Energy relative to the elements, uncorrected   -0.123 eV per atom
data_LaAl2Cl
_symmetry_space_group_name_H-M 'P 4/m m m'
_symmetry_Int_Tables_number 123
_symmetry_space_group_name_Hall '-P 4 2'
_cell_length_a 3.2387
_cell_length_b 3.2387
_cell_length_c 8.5497
_cell_angle_alpha 90.00
_cell_angle_beta 90.00
_cell_angle_gamma 90.00
loop_
_atom_site_label
_atom_site_fract_x
_atom_site_fract_y
_atom_site_fract_z
La1 0.0000 0.0000 0.0000
Al1 0.5000 0.5000 0.2666
Cl1 0.0000 0.0000 0.5000

# CoAsOs2, optimized geometry, DFT GGA-PBEsol
# Total magnetization   2.03 μB per formula unit
# DOS(E_F)   1.357 states/eV/atom
# Energy of formation   0.702 eV per atom
data_CoAsOs2
_symmetry_space_group_name_H-M 'C m m m'
_symmetry_Int_Tables_number 65
_symmetry_space_group_name_Hall '-C 2 2'
_cell_length_a 2.7201
_cell_length_b 4.6079
_cell_length_c 9.0294
_cell_angle_alpha 90.00
_cell_angle_beta 90.00
_cell_angle_gamma 90.00
loop_
_atom_site_label
_atom_site_fract_x
_atom_site_fract_y
_atom_site_fract_z
Co1 0.0000 0.0000 0.0000
As1 0.0000 0.0000 0.5000
Os1 0.0000 0.5000 0.2302

# AlSb, optimized geometry, DFT GGA-PBEsol
# Total magnetization   0.00 μB per formula unit
# Energy relative to the elements, uncorrected   -0.104 eV per atom
data_AlSb
_symmetry_space_group_name_H-M 'P 63 m c'
_symmetry_Int_Tables_number 186
_symmetry_space_group_name_Hall 'P 6c -2c'
_cell_length_a 4.3479
_cell_length_b 4.3479
_cell_length_c 7.1621
_cell_angle_alpha 90.00
_cell_angle_beta 90.00
_cell_angle_gamma 120.00
loop_
_atom_site_label
_atom_site_fract_x
_atom_site_fract_y
_atom_site_fract_z
Al1 0.3333 0.6667 0.0000
Sb1 0.3333 0.6667 0.6260

# CaPr3, optimized geometry, DFT GGA-PBEsol
# Total magnetization   0.00 μB per formula unit
# DOS(E_F)   1.583 states/eV/atom
# Energy of formation   0.083 eV per atom
data_CaPr3
_symmetry_space_group_name_H-M 'P 63/m m c'
_symmetry_Int_Tables_number 194
_symmetry_space_group_name_Hall '-P 6c 2c'
_cell_length_a 7.3778
_cell_length_b 7.3778
_cell_length_c 5.9218
_cell_angle_alpha 90.00
_cell_angle_beta 90.00
_cell_angle_gamma 120.00
loop_
_atom_site_label
_atom_site_fract_x
_atom_site_fract_y
_atom_site_fract_z
Ca1 0.3333 0.6667 0.2500
Pr1 0.1641 0.3281 0.7500

# KAs2HO6, optimized geometry, DFT GGA-PBEsol
# Total magnetization   0.00 μB per formula unit
# DOS(E_F)   0.000 states/eV/atom
# Total energy   -5.9779 eV per atom
data_KAs2HO6
_symmetry_space_group_name_H-M 'P 1 21/c 1'
_symmetry_Int_Tables_number 14
_symmetry_space_group_name_Hall '-P 2ybc'
_cell_length_a 6.0990
_cell_length_b 9.6730
_cell_length_c 9.2511
_cell_angle_alpha 90.00
_cell_angle_beta 95.78
_cell_angle_gamma 90.00
loop_
_atom_site_label
_atom_site_fract_x
_atom_site_fract_y
_atom_site_fract_z
K1 0.1035 0.1917 0.4846
As1 0.3418 0.6086 0.7536
As2 0.3840 0.5996 0.4165
H1 0.0402 0.5477 0.2832
O1 0.1115 0.5513 0.8179
O2 0.1155 0.6331 0.3315
O3 0.2966 0.6883 0.5858
O4 0.3339 0.0713 0.9950
O5 0.4591 0.5201 0.2413
O6 0.4888 0.7282 0.8665

# RuPb2Cl, optimized geometry, DFT GGA-PBEsol
# ΔE to the lowest computed polymorph   0 meV per atom
# Total magnetization   0.00 μB per formula unit
# DOS(E_F)   0.806 states/eV/atom
# Energy relative to the elements, uncorrected   0.184 eV per atom
data_RuPb2Cl
_symmetry_space_group_name_H-M 'P 4/m m m'
_symmetry_Int_Tables_number 123
_symmetry_space_group_name_Hall '-P 4 2'
_cell_length_a 5.1442
_cell_length_b 5.1442
_cell_length_c 3.1329
_cell_angle_alpha 90.00
_cell_angle_beta 90.00
_cell_angle_gamma 90.00
loop_
_atom_site_label
_atom_site_fract_x
_atom_site_fract_y
_atom_site_fract_z
Ru1 0.0000 0.0000 0.0000
Pb1 0.0000 0.5000 0.5000
Cl1 0.5000 0.5000 0.0000

# Ba3InIr2O9, optimized geometry, DFT GGA-PBEsol
# Total magnetization   0.00 μB per formula unit
# DOS(E_F)   0.420 states/eV/atom
# Energy relative to the elements, uncorrected   -1.773 eV per atom
data_Ba3InIr2O9
_symmetry_space_group_name_H-M 'P 63/m m c'
_symmetry_Int_Tables_number 194
_symmetry_space_group_name_Hall '-P 6c 2c'
_cell_length_a 5.8124
_cell_length_b 5.8124
_cell_length_c 14.3721
_cell_angle_alpha 90.00
_cell_angle_beta 90.00
_cell_angle_gamma 120.00
loop_
_atom_site_label
_atom_site_fract_x
_atom_site_fract_y
_atom_site_fract_z
Ba1 0.0000 0.0000 0.2500
Ba2 0.3333 0.6667 0.0874
In1 0.0000 0.0000 0.0000
Ir1 0.3333 0.6667 0.6633
O1 0.0162 0.5081 0.7500
O2 0.1735 0.3470 0.5841

# KTc2Ru2, optimized geometry, DFT GGA-PBEsol
# Total magnetization   0.00 μB per formula unit
# DOS(E_F)   0.957 states/eV/atom
# Energy of formation   0.815 eV per atom
data_KTc2Ru2
_symmetry_space_group_name_H-M 'I 4/m m m'
_symmetry_Int_Tables_number 139
_symmetry_space_group_name_Hall '-I 4 2'
_cell_length_a 4.3004
_cell_length_b 4.3004
_cell_length_c 10.0224
_cell_angle_alpha 90.00
_cell_angle_beta 90.00
_cell_angle_gamma 90.00
loop_
_atom_site_label
_atom_site_fract_x
_atom_site_fract_y
_atom_site_fract_z
K1 0.0000 0.0000 0.0000
Tc1 0.0000 0.5000 0.2500
Ru1 0.0000 0.0000 0.3662

# CuOsBr2, optimized geometry, DFT GGA-PBEsol
# ΔE to the lowest computed polymorph   0 meV per atom
# Total magnetization   0.00 μB per formula unit
# DOS(E_F)   0.876 states/eV/atom
# Energy relative to the elements, uncorrected   0.675 eV per atom
data_CuOsBr2
_symmetry_space_group_name_H-M 'C m m 2'
_symmetry_Int_Tables_number 35
_symmetry_space_group_name_Hall 'C 2 -2'
_cell_length_a 2.9546
_cell_length_b 5.4458
_cell_length_c 9.3570
_cell_angle_alpha 90.00
_cell_angle_beta 90.00
_cell_angle_gamma 90.00
loop_
_atom_site_label
_atom_site_fract_x
_atom_site_fract_y
_atom_site_fract_z
Cu1 0.0000 0.0000 0.0000
Os1 0.0000 0.5000 0.2171
Br1 0.0000 0.0000 0.4317
Br2 0.0000 0.5000 0.7928

# Cs2RbNa2, optimized geometry, DFT GGA-PBEsol
# ΔE to the lowest computed polymorph   0 meV per atom
# Total magnetization   0.00 μB per formula unit
# DOS(E_F)   0.786 states/eV/atom
# Energy of formation   0.042 eV per atom
data_Cs2RbNa2
_symmetry_space_group_name_H-M 'I 4/m m m'
_symmetry_Int_Tables_number 139
_symmetry_space_group_name_Hall '-I 4 2'
_cell_length_a 4.9291
_cell_length_b 4.9291
_cell_length_c 30.3746
_cell_angle_alpha 90.00
_cell_angle_beta 90.00
_cell_angle_gamma 90.00
loop_
_atom_site_label
_atom_site_fract_x
_atom_site_fract_y
_atom_site_fract_z
Cs1 0.0000 0.0000 0.1279
Rb1 0.0000 0.0000 0.5000
Na1 0.0000 0.5000 0.2500

# Gd2Al6Si4Pt, optimized geometry, DFT GGA-PBEsol
# Total magnetization   14.06 μB per formula unit
# DOS(E_F)   0.269 states/eV/atom
# Energy relative to the elements, uncorrected   -0.541 eV per atom
data_Gd2Al6Si4Pt
_symmetry_space_group_name_H-M 'R -3 m'
_symmetry_Int_Tables_number 166
_symmetry_space_group_name_Hall '-R 3 2"'
_cell_length_a 4.1383
_cell_length_b 4.1383
_cell_length_c 50.4861
_cell_angle_alpha 90.00
_cell_angle_beta 90.00
_cell_angle_gamma 120.00
loop_
_atom_site_label
_atom_site_fract_x
_atom_site_fract_y
_atom_site_fract_z
Gd1 0.0000 0.0000 0.0661
Al1 0.0000 0.0000 0.1823
Al2 0.0000 0.0000 0.3150
Al3 0.0000 0.0000 0.4498
Si1 0.0000 0.0000 0.2342
Si2 0.0000 0.0000 0.3653
Pt1 0.0000 0.0000 0.5000

# LiSc2Os, optimized geometry, DFT GGA-PBEsol
# ΔE to the lowest computed polymorph   517 meV per atom
# Total magnetization   0.00 μB per formula unit
# DOS(E_F)   1.048 states/eV/atom
# Energy of formation   0.205 eV per atom
data_LiSc2Os
_symmetry_space_group_name_H-M 'C m m 2'
_symmetry_Int_Tables_number 35
_symmetry_space_group_name_Hall 'C 2 -2'
_cell_length_a 3.1686
_cell_length_b 4.8214
_cell_length_c 9.6103
_cell_angle_alpha 90.00
_cell_angle_beta 90.00
_cell_angle_gamma 90.00
loop_
_atom_site_label
_atom_site_fract_x
_atom_site_fract_y
_atom_site_fract_z
Li1 0.0000 0.0000 0.0000
Sc1 0.0000 0.0000 0.5783
Sc2 0.0000 0.5000 0.2850
Os1 0.0000 0.5000 0.7848

# MnGa2Ni9, optimized geometry, DFT GGA-PBEsol
# Total magnetization   5.05 μB per formula unit
# DOS(E_F)   1.133 states/eV/atom
# Energy of formation   -0.240 eV per atom
data_MnGa2Ni9
_symmetry_space_group_name_H-M 'P 4/m m m'
_symmetry_Int_Tables_number 123
_symmetry_space_group_name_Hall '-P 4 2'
_cell_length_a 3.5239
_cell_length_b 3.5239
_cell_length_c 10.4829
_cell_angle_alpha 90.00
_cell_angle_beta 90.00
_cell_angle_gamma 90.00
loop_
_atom_site_label
_atom_site_fract_x
_atom_site_fract_y
_atom_site_fract_z
Mn1 0.0000 0.0000 0.0000
Ga1 0.0000 0.0000 0.3333
Ni1 0.0000 0.5000 0.1641
Ni2 0.0000 0.5000 0.5000
Ni3 0.5000 0.5000 0.0000
Ni4 0.5000 0.5000 0.3318